[1]
PuAg3Se3 | PBE-GGA | relaxed

Unit cell a=8.1821 b=8.1821 c=8.1821 alpha=54.76 beta=54.76 gamma=54.76
Fractional positions:
Pu 0.1666 0.1666 0.1666
Pu 0.8334 0.8334 0.8334
Ag 0.0285 0.3779 0.7152
Ag 0.2848 0.9715 0.6221
Ag 0.3779 0.7152 0.0285
Ag 0.6221 0.2848 0.9715
Ag 0.7152 0.0285 0.3779
Ag 0.9715 0.6221 0.2848
Se 0.0919 0.7612 0.4272
Se 0.2388 0.5728 0.9081
Se 0.4272 0.0919 0.7612
Se 0.5728 0.9081 0.2388
Se 0.7612 0.4272 0.0919
Se 0.9081 0.2388 0.5728

Output
The uncorrected formation energy is -4.01 eV per formula unit.

=====

[2]
PuSiAg2Se4 | PBE-GGA | relaxed

Unit cell a=8.0472 b=8.0472 c=8.0472 alpha=123.10 beta=118.20 gamma=88.93
Fractional positions:
Pu 0.0000 0.0000 0.0000
Pu 0.5000 0.0000 0.5000
Si 0.5000 0.0000 0.0000
Si 0.5000 0.5000 0.5000
Ag 0.0000 0.0000 0.5000
Ag 0.0000 0.5000 0.0000
Ag 0.0000 0.5000 0.5000
Ag 0.5000 0.5000 0.0000
Se 0.2670 0.2707 0.5037
Se 0.2670 0.7633 0.9963
Se 0.2710 0.2494 0.0216
Se 0.2721 0.7506 0.5216
Se 0.7279 0.2494 0.4784
Se 0.7290 0.7506 0.9784
Se 0.7330 0.2367 0.0037
Se 0.7330 0.7293 0.4963

Output
The uncorrected formation energy is -3.72 eV per formula unit.

=====

[3]
Sm2PuAg3Se6 | PBE-GGA | relaxed

Unit cell a=9.1597 b=9.1597 c=7.9802 alpha=97.78 beta=97.78 gamma=26.92
Fractional positions:
Sm 0.1664 0.1664 0.3399
Sm 0.8336 0.8336 0.6601
Pu 0.5000 0.5000 0.0000
Ag 0.1578 0.1578 0.8546
Ag 0.5000 0.5000 0.5000
Ag 0.8422 0.8422 0.1454
Se 0.0008 0.0008 0.2504
Se 0.3325 0.3325 0.4066
Se 0.3336 0.3336 0.9131
Se 0.6664 0.6664 0.0869
Se 0.6675 0.6675 0.5934
Se 0.9992 0.9992 0.7496

Output
The uncorrected formation energy is -12.84 eV per formula unit.

=====

[4]
Pu3Ag3SnSe8 | PBE-GGA | relaxed

Unit cell a=7.9476 b=7.9476 c=7.9476 alpha=63.84 beta=63.84 gamma=63.84
Fractional positions:
Pu 0.0000 0.5000 0.5000
Pu 0.5000 0.0000 0.5000
Pu 0.5000 0.5000 0.0000
Ag 0.0000 0.0000 0.5000
Ag 0.0000 0.5000 0.0000
Ag 0.5000 0.0000 0.0000
Sn 0.0000 0.0000 0.0000
Se 0.2458 0.2458 0.7523
Se 0.2458 0.7523 0.2458
Se 0.2477 0.7542 0.7542
Se 0.2508 0.2508 0.2508
Se 0.7492 0.7492 0.7492
Se 0.7523 0.2458 0.2458
Se 0.7542 0.2477 0.7542
Se 0.7542 0.7542 0.2477

Output
The uncorrected formation energy is -11.90 eV per formula unit.

=====

[5]
Sr2PuAg2Se4 | PBE-GGA | relaxed

Unit cell a=8.0458 b=8.0458 c=7.7629 alpha=111.46 beta=111.46 gamma=30.19
Fractional positions:
Sr 0.1324 0.1324 0.0755
Sr 0.8676 0.8676 0.9245
Pu 0.0000 0.0000 0.5000
Ag 0.3160 0.3160 0.4987
Ag 0.6840 0.6840 0.5013
Se 0.2079 0.2079 0.7435
Se 0.4874 0.4874 0.7639
Se 0.5126 0.5126 0.2361
Se 0.7921 0.7921 0.2565

Output
The uncorrected formation energy is -10.75 eV per formula unit.

=====

[6]
SrPuAgSe3 | PBE-GGA | relaxed

Unit cell a=8.5362 b=4.2302 c=9.3087 alpha=90.00 beta=104.04 gamma=90.00
Fractional positions:
Sr 0.1942 0.2500 0.2398
Sr 0.8058 0.7500 0.7602
Pu 0.3262 0.7500 0.8375
Pu 0.6738 0.2500 0.1625
Ag 0.0907 0.2500 0.5839
Ag 0.9093 0.7500 0.4161
Se 0.0988 0.2500 0.8713
Se 0.2564 0.7500 0.5134
Se 0.4384 0.7500 0.1588
Se 0.5616 0.2500 0.8412
Se 0.7436 0.2500 0.4866
Se 0.9012 0.7500 0.1287

Output
The uncorrected formation energy is -7.93 eV per formula unit.

=====

[7]
TbPuAg2Se4 | PBE-GGA | relaxed

Unit cell a=6.8093 b=4.2312 c=7.3408 alpha=90.00 beta=111.79 gamma=90.00
Fractional positions:
Tb 0.0000 0.0000 0.0000
Pu 0.0000 0.5000 0.5000
Ag 0.5000 0.0000 0.5000
Ag 0.5000 0.5000 0.0000
Se 0.2472 0.0000 0.7531
Se 0.2499 0.5000 0.2493
Se 0.7501 0.5000 0.7507
Se 0.7528 0.0000 0.2469

Output
The uncorrected formation energy is -8.21 eV per formula unit.

=====

[8]
PuAgTeSe | PBE-GGA | relaxed

Unit cell a=11.9739 b=11.9739 c=11.9739 alpha=22.52 beta=22.52 gamma=22.52
Fractional positions:
Pu 0.1113 0.1113 0.1113
Pu 0.8887 0.8887 0.8887
Ag 0.3070 0.3070 0.3070
Ag 0.6930 0.6930 0.6930
Te 0.3896 0.3896 0.3896
Te 0.6104 0.6104 0.6104
Se 0.1966 0.1966 0.1966
Se 0.8034 0.8034 0.8034

Output
The uncorrected formation energy is -3.27 eV per formula unit.

=====

[9]
PuTl2AgSe4 | PBE-GGA | relaxed

Unit cell a=6.9732 b=4.1984 c=7.9193 alpha=90.00 beta=108.46 gamma=90.00
Fractional positions:
Pu 0.0000 0.0000 0.0000
Tl 0.0000 0.5000 0.5000
Tl 0.5000 0.0000 0.5000
Ag 0.5000 0.5000 0.0000
Se 0.2284 0.5000 0.2106
Se 0.2590 0.0000 0.7914
Se 0.7410 0.0000 0.2086
Se 0.7716 0.5000 0.7894

Output
The uncorrected formation energy is -4.91 eV per formula unit.

=====

[10]
Pu3Tl3AgSe8 | PBE-GGA | relaxed

Unit cell a=8.2336 b=8.2336 c=9.0970 alpha=116.88 beta=116.88 gamma=60.04
Fractional positions:
Pu 0.0000 0.0000 0.0000
Pu 0.0000 0.5000 0.0000
Pu 0.5000 0.0000 0.0000
Tl 0.0000 0.5000 0.5000
Tl 0.5000 0.0000 0.5000
Tl 0.5000 0.5000 0.5000
Ag 0.5000 0.5000 0.0000
Se 0.2235 0.7393 0.2022
Se 0.2352 0.2352 0.2056
Se 0.2615 0.2615 0.7984
Se 0.2607 0.7765 0.7978
Se 0.7393 0.2235 0.2022
Se 0.7385 0.7385 0.2016
Se 0.7648 0.7648 0.7944
Se 0.7765 0.2607 0.7978

Output
The uncorrected formation energy is -13.04 eV per formula unit.

=====

[11]
PuTlAg2Se4 | PBE-GGA | relaxed

Unit cell a=6.4411 b=6.4411 c=6.4411 alpha=110.06 beta=109.48 gamma=108.88
Fractional positions:
Pu 0.0000 0.0000 0.0000
Tl 0.5000 0.5000 0.0000
Ag 0.2885 0.7885 0.5000
Ag 0.7115 0.2115 0.5000
Se 0.0779 0.4949 0.0042
Se 0.4907 0.0737 0.9958
Se 0.5093 0.5051 0.5830
Se 0.9221 0.9263 0.4170

Output
The uncorrected formation energy is -3.44 eV per formula unit.

=====

[12]
Pu2Tl3AgSe6 | PBE-GGA | relaxed

Unit cell a=7.1800 b=7.1800 c=8.0696 alpha=98.32 beta=98.32 gamma=120.24
Fractional positions:
Pu 0.1670 0.8330 0.0000
Pu 0.8330 0.1670 0.0000
Tl 0.0000 0.0000 0.5000
Tl 0.3374 0.6626 0.5000
Tl 0.6626 0.3374 0.5000
Ag 0.5000 0.5000 0.0000
Se 0.0825 0.4314 0.7914
Se 0.2237 0.2237 0.2001
Se 0.4314 0.0825 0.7914
Se 0.5686 0.9175 0.2086
Se 0.7763 0.7763 0.7999
Se 0.9175 0.5686 0.2086

Output
The uncorrected formation energy is -9.69 eV per formula unit.

=====

[13]
PuTl2Ag2Se4 | PBE-GGA | relaxed

Unit cell a=7.9709 b=7.9709 c=7.9797 alpha=110.02 beta=110.02 gamma=30.90
Fractional positions:
Pu 0.0000 0.0000 0.0000
Tl 0.1357 0.1357 0.5741
Tl 0.8643 0.8643 0.4259
Ag 0.3202 0.3202 0.0186
Ag 0.6798 0.6798 0.9814
Se 0.1963 0.1963 0.2029
Se 0.4947 0.4947 0.2389
Se 0.5053 0.5053 0.7611
Se 0.8037 0.8037 0.7971

Output
The uncorrected formation energy is -5.60 eV per formula unit.

=====

[14]
Tm2PuAg3Se6 | PBE-GGA | relaxed

Unit cell a=9.0359 b=9.0359 c=8.0155 alpha=99.63 beta=99.63 gamma=26.68
Fractional positions:
Tm 0.1675 0.1675 0.3435
Tm 0.8325 0.8325 0.6565
Pu 0.5000 0.5000 0.0000
Ag 0.1582 0.1582 0.8575
Ag 0.5000 0.5000 0.5000
Ag 0.8418 0.8418 0.1425
Se 0.0033 0.0033 0.2535
Se 0.3308 0.3308 0.4131
Se 0.3307 0.3307 0.9002
Se 0.6693 0.6693 0.0998
Se 0.6692 0.6692 0.5869
Se 0.9967 0.9967 0.7465

Output
The uncorrected formation energy is -12.76 eV per formula unit.

=====

[15]
Y3PuAg3Se8 | PBE-GGA | relaxed

Unit cell a=8.0326 b=8.0326 c=8.0512 alpha=117.55 beta=117.55 gamma=62.54
Fractional positions:
Y 0.0000 0.0000 0.0000
Y 0.0000 0.5000 0.5000
Y 0.5000 0.0000 0.5000
Pu 0.5000 0.5000 0.0000
Ag 0.0000 0.5000 0.0000
Ag 0.5000 0.0000 0.0000
Ag 0.5000 0.5000 0.5000
Se 0.2497 0.2497 0.2514
Se 0.2502 0.7469 0.7542
Se 0.2532 0.2532 0.7491
Se 0.2531 0.7498 0.2458
Se 0.7469 0.2502 0.7542
Se 0.7468 0.7468 0.2509
Se 0.7498 0.2531 0.2458
Se 0.7503 0.7503 0.7486

Output
The uncorrected formation energy is -17.59 eV per formula unit.

=====

[16]
PuSiAg | PBE-GGA | relaxed

Unit cell a=8.8134 b=8.8134 c=4.1765 alpha=90.00 beta=90.00 gamma=158.23
Fractional positions:
Pu 0.1049 0.8951 0.7500
Pu 0.8951 0.1049 0.2500
Si 0.4628 0.5372 0.7500
Si 0.5372 0.4628 0.2500
Ag 0.2871 0.7129 0.7500
Ag 0.7129 0.2871 0.2500

Output
The uncorrected formation energy is -0.65 eV per formula unit.

=====

[17]
PuSiAg | PBE-GGA | relaxed

Unit cell a=6.4572 b=6.4572 c=6.4572 alpha=152.11 beta=152.11 gamma=39.86
Fractional positions:
Pu 0.0000 0.0000 0.0000
Si 0.3359 0.3359 0.0000
Ag 0.7022 0.7022 0.0000

Output
The uncorrected formation energy is 0.15 eV per formula unit.

=====

[18]
PuSiAg | PBE-GGA | relaxed

Unit cell a=4.6031 b=4.6031 c=3.3486 alpha=90.00 beta=90.00 gamma=120.00
Fractional positions:
Pu 0.0000 0.0000 0.0000
Si 0.6667 0.3333 0.5000
Ag 0.3333 0.6667 0.5000

Output
The uncorrected formation energy is -0.53 eV per formula unit.

=====

[19]
PuSi4Ag | PBE-GGA | relaxed

Unit cell a=5.2092 b=5.2092 c=5.2092 alpha=60.00 beta=60.00 gamma=60.00
Fractional positions:
Pu 0.0000 0.0000 0.0000
Si 0.3762 0.3762 0.3762
Si 0.3762 0.3762 0.8715
Si 0.3762 0.8715 0.3762
Si 0.8715 0.3762 0.3762
Ag 0.7500 0.7500 0.7500

Output
The uncorrected formation energy is -0.10 eV per formula unit.

=====

[20]
TmPuSiAg | PBE-GGA | relaxed

Unit cell a=5.0324 b=5.0324 c=5.0324 alpha=60.00 beta=60.00 gamma=60.00
Fractional positions:
Tm 0.0000 0.0000 0.0000
Pu 0.5000 0.5000 0.5000
Si 0.2500 0.2500 0.2500
Ag 0.7500 0.7500 0.7500

Output
The uncorrected formation energy is -1.07 eV per formula unit.

=====

[21]
YPuSiAg | PBE-GGA | relaxed

Unit cell a=5.0737 b=5.0737 c=5.0737 alpha=60.00 beta=60.00 gamma=60.00
Fractional positions:
Y 0.0000 0.0000 0.0000
Pu 0.5000 0.5000 0.5000
Si 0.7500 0.7500 0.7500
Ag 0.2500 0.2500 0.2500

Output
The uncorrected formation energy is -1.10 eV per formula unit.

=====

[22]
SmPuAg | PBE-GGA | relaxed

Unit cell a=12.6815 b=12.6815 c=3.3564 alpha=90.00 beta=90.00 gamma=164.85
Fractional positions:
Sm 0.1281 0.8719 0.7500
Sm 0.8719 0.1281 0.2500
Pu 0.2363 0.7637 0.2500
Pu 0.7637 0.2363 0.7500
Ag 0.4546 0.5454 0.7500
Ag 0.5454 0.4546 0.2500

Output
The calculation puts the energy relative to the elements at 20.69 kJ per mole of atoms. The distance to the lowest polymorph of the same formula is 15.5 kJ/mol of atoms.

=====

[23]
SmPuAg2 | PBE-GGA | relaxed

Unit cell a=10.4901 b=10.4901 c=10.4901 alpha=18.23 beta=18.23 gamma=18.23
Fractional positions:
Sm 0.0000 0.0000 0.0000
Pu 0.5000 0.5000 0.5000
Ag 0.2504 0.2504 0.2504
Ag 0.7496 0.7496 0.7496

Output
The calculation puts the energy relative to the elements at 12.11 kJ per mole of atoms.